# 1
First-principles (GGA-PBEsol) data for an optimized crystal structure of RbPt3I, as listed in the Alexandria database.

Summary:
Uncorrected formation energy (eV per atom): 2.24
Polymorph energy (0 for the lowest one) (meV per atom): 1523
N(E_F) (states/eV per cell): 5.94
Total magnetization (μB per cell): 0.000

Cell: 5.0437 5.0437 5.0437 Å, 90.00 90.00 90.00°
With the nearest neighbours (Å) after each atom.
Space group Pm-3m (No. 221)
One atom of each set of equivalent atoms:
Rb1 0.0000 0.0000 0.0000 (multiplicity 1)  6 Pt 2.52
Pt1 0.0000 0.0000 0.5000 (multiplicity 3)  2 Rb 2.52
I1 0.5000 0.5000 0.5000 (multiplicity 1)  12 Pt 3.57

---

# 2
First-principles (GGA-PBEsol) data for an optimized crystal structure of Al3ReO, as listed in the Alexandria database.

Summary:
Uncorrected formation energy (eV per atom): 0.87
N(E_F) (states/eV per cell): 5.52
Total magnetization (μB per cell): 1.562

Cell: 4.7290 4.7290 4.7290 Å, 90.00 90.00 90.00°
With the nearest neighbours (Å) after each atom.
Space group Pm-3m (No. 221)
One atom of each set of equivalent atoms:
Al1 0.0000 0.0000 0.5000 (multiplicity 3)  2 Re 2.36
Re1 0.0000 0.0000 0.0000 (multiplicity 1)  6 Al 2.36
O1 0.5000 0.5000 0.5000 (multiplicity 1)  12 Al 3.34

---

- Which formula does entry 2 have?
  Al3ReO